First-principles (PBE) data for a geometry-optimized TbNi10B2 structure, as listed in Alexandria.

Summary:
crystal system	orthorhombic
M_tot	0.0	μB per formula unit
space-group type	No. 69
N(E_F)	1.289	states/eV/atom
DFT formation energy	-0.16	eV/atom

```
13
Lattice="4.583 0.000 0.000 2.292 5.785 0.000 2.292 0.000 5.435" Properties=species:S:1:pos:R:3 pbc="T T T"
Tb 0.000 0.000 0.000
Ni 4.583 3.707 3.649
Ni 4.583 2.078 1.786
Ni 6.875 2.078 3.649
Ni 2.292 3.707 1.786
Ni 1.146 0.000 2.717
Ni 3.437 0.000 2.717
Ni 2.292 1.449 1.165
Ni 6.875 4.336 4.270
Ni 4.583 4.336 1.165
Ni 4.583 1.449 4.270
B 1.146 2.892 0.000
B 3.437 2.892 0.000
```

First-principles (PBE) data for a geometry-optimized TbNi4B structure, as listed in Alexandria.

Summary:
crystal system	orthorhombic
M_tot	0.0	μB per formula unit
space-group type	No. 51
N(E_F)	0.571	states/eV/atom
energy relative to the lowest polymorph listed for this composition	0.81	eV/f.u.
DFT formation energy	-0.35	eV/atom

```
12
Lattice="-0.831 -2.541 -2.121 4.280 2.071 -4.159 4.810 -4.030 2.943" Properties=species:S:1:pos:R:3 pbc="T T T"
Tb 6.197 -1.770 -0.308
Tb 2.894 -0.189 -0.908
Ni 2.405 -2.015 1.472
Ni 0.000 0.000 0.000
Ni 7.286 -2.312 -2.831
Ni 0.973 -2.188 -0.506
Ni 2.991 -0.070 -3.835
Ni 5.268 -4.431 0.498
Ni 4.719 -1.517 -2.777
Ni 3.540 -2.983 -0.559
B 4.341 -2.668 1.495
B 4.750 0.709 -2.711
```